# CaTe2W PBE optimized geometry
# Formation energy from raw total energies: 0.76 eV per atom
# Calculated total energy: -4.55 eV per atom
data_CaTe2W
_chemical_formula_sum 'Ca4 Te8 W4'
_cell_length_a 7.440
_cell_length_b 7.440
_cell_length_c 7.440
_cell_angle_alpha 90.00
_cell_angle_beta 90.00
_cell_angle_gamma 90.00
_space_group_name_H-M_alt 'F -4 3 m'
_space_group_IT_number 216
_space_group_name_Hall 'F -4 2 3'
loop_
_atom_site_label
_atom_site_type_symbol
_atom_site_fract_x
_atom_site_fract_y
_atom_site_fract_z
_atom_site_occupancy
Ca1 Ca 0.000 0.000 0.000 1
Te1 Te 0.000 0.000 0.500 1
Te2 Te 0.250 0.250 0.750 1
W1 W 0.250 0.250 0.250 1